YNpN: relaxed, PBE.

Output
Excess energy over the best structure of this formula in the dataset, meV per atom: 1035.6
Volume, Å³ per atom: 26.17
E, eV/cell: -26.01
Uncorrected formation energy, eV/atom: 0.57

Cell: 4.545 4.545 4.977 Å, 117.17 117.17 90.00°
Site moments in Bohr magnetons follow the coordinates.
Sites, in units of the cell vectors:
Y 0.343 0.343 0.685  0.38
Np 0.883 0.883 0.767  3.91
N 0.624 0.624 0.248  -0.12

***

Sc2CdOs: relaxed, PBE.

Output
E_form, eV per atom: -0.45
Volume, Å³ per atom: 19.53
E, eV/cell: -26.59

Cell: 3.268 3.268 7.316 Å, 90.00 90.00 89.98°
Sites, in units of the cell vectors:
Sc 0.000 0.000 0.960
Sc 0.000 0.000 0.540
Os 0.500 0.500 0.750
Cd 0.500 0.500 0.250

***

PdSeO2: relaxed, PBE.

Output
Volume, Å³ per atom: 13.70
E, eV/cell: -19.30
Uncorrected formation energy, eV/atom: -0.18

Cell: 6.390 6.390 6.390 Å, 29.16 29.16 29.16°
Sites, in units of the cell vectors:
O 0.109 0.109 0.109
Pd 0.500 0.500 0.500
O 0.891 0.891 0.891
Se 0.000 0.000 0.000

***

ScFeSbTe2: relaxed, PBE.

Output
Excess energy over the best structure of this formula in the dataset, meV per atom: 343.3
Volume, Å³ per atom: 33.04
E, eV/cell: -22.53
Uncorrected formation energy, eV/atom: 0.53

Cell: 5.472 5.472 5.517 Å, 90.00 90.00 90.00°
Site moments in Bohr magnetons follow the coordinates.
Sites, in units of the cell vectors:
Sb 0.000 0.000 0.500  -0.04
Fe 0.500 0.500 0.500  3.35
Te 0.000 0.500 0.000  -0.01
Te 0.500 0.000 0.000  -0.01
Sc 0.000 0.000 0.000  0.02

***

CeSm3Er6: relaxed, PBE.

Output
Excess energy over the best structure of this formula in the dataset, meV per atom: 0.0
E_form, eV per atom: 0.04
Volume, Å³ per atom: 31.54
E, eV/cell: -47.04

Cell: 9.385 9.388 6.139 Å, 109.16 139.82 64.69°
Site moments in Bohr magnetons follow the coordinates.
Sites, in units of the cell vectors:
Er 0.999 0.402 0.202  0.05
Sm 0.004 0.797 0.405  0.01
Sm 0.996 0.203 0.595  0.01
Er 0.501 0.698 0.597  0.05
Ce 0.500 0.500 0.000  0.79
Sm 0.000 0.000 0.000  0.00
Er 0.499 0.302 0.403  0.05
Er 0.500 0.898 0.199  0.01
Er 0.500 0.102 0.801  0.01
Er 0.001 0.598 0.798  0.05

***

FeTe2OsI: relaxed, PBE.

Output
Excess energy over the best structure of this formula in the dataset, meV per atom: 0.0
Volume, Å³ per atom: 29.85
E, eV/cell: -21.66
Uncorrected formation energy, eV/atom: 1.17

Cell: 5.161 5.161 5.603 Å, 90.00 90.00 90.00°
Site moments in Bohr magnetons follow the coordinates.
Sites, in units of the cell vectors:
Os 0.000 0.000 0.000  -0.27
Te 0.500 0.000 0.000  0.00
Fe 0.500 0.500 0.500  3.40
I 0.000 0.000 0.500  0.06
Te 0.000 0.500 0.000  0.00

***

Pr5Er2Hg4: relaxed, PBE.

Output
E_form, eV per atom: -0.16
Volume, Å³ per atom: 31.53
E, eV/cell: -35.98

Cell: 3.925 8.363 12.608 Å, 121.53 98.96 90.00°
Sites, in units of the cell vectors:
Pr 0.739 0.151 0.478
Er 0.898 0.168 0.795
Er 0.102 0.832 0.205
Pr 0.166 0.341 0.333
Hg 0.356 0.377 0.711
Hg 0.038 0.372 0.076
Hg 0.644 0.623 0.289
Pr 0.834 0.659 0.667
Hg 0.962 0.628 0.924
Pr 0.261 0.849 0.522
Pr 0.500 0.000 0.000

***

Na2ZnSe2: relaxed, PBE.

Output
Excess energy over the best structure of this formula in the dataset, meV per atom: 266.7
Volume, Å³ per atom: 23.02
E, eV/cell: -28.48
Uncorrected formation energy, eV/atom: -0.67

Cell: 7.317 7.317 4.299 Å, 90.00 90.00 90.00°
Sites, in units of the cell vectors:
Na 0.362 0.138 0.500
Na 0.862 0.362 0.500
Na 0.638 0.862 0.500
Se 0.820 0.680 0.000
Se 0.680 0.180 0.000
Na 0.138 0.638 0.500
Zn 0.500 0.500 0.000
Zn 0.000 0.000 0.000
Se 0.320 0.820 0.000
Se 0.180 0.320 0.000

***

La4Sm3YTe8: relaxed, PBE.

Output
Volume, Å³ per atom: 32.29
E, eV/cell: -89.16
Uncorrected formation energy, eV/atom: -1.48

Cell: 9.012 9.002 9.010 Å, 120.01 120.01 90.00°
Sites, in units of the cell vectors:
La 0.500 0.000 0.500
Te 0.756 0.262 0.006
La 0.000 0.000 0.000
Te 0.253 0.259 0.506
Te 0.244 0.738 0.994
Te 0.749 0.738 0.994
Te 0.755 0.262 0.511
Sm 0.000 0.500 0.500
Te 0.245 0.738 0.489
La 0.500 0.000 0.000
Y 0.000 0.500 0.000
La 0.000 0.000 0.500
Te 0.747 0.741 0.494
Te 0.251 0.262 0.006
Sm 0.500 0.500 0.000
Sm 0.500 0.500 0.500

***

RhPb2Br: relaxed, PBE.

Output
Excess energy over the best structure of this formula in the dataset, meV per atom: 89.4
Volume, Å³ per atom: 25.98
E, eV/cell: -16.78
Uncorrected formation energy, eV/atom: -0.08

Cell: 3.702 5.707 5.706 Å, 59.55 90.00 90.00°
Sites, in units of the cell vectors:
Br 0.500 0.698 0.698
Pb 0.500 0.300 0.300
Rh 0.000 0.496 0.496
Pb 0.000 0.006 0.006

***

- volume of number 7 (Pr5Er2Hg4)?
  31.53 Å³ per atom

***

- Among the records above, which one has the highest E?
  RhPb2Br